Density functional theory data (PBE with a Hubbard U) for crystalline VGaPO2 at its relaxed geometry.

```
VGaPO2
1.0
3.6891 0.0000 0.0000
0.0000 3.6891 0.0000
0.0000 0.0000 5.1757
P O Ga V
1 2 1 1
Cartesian
0.0000 0.0000 2.5878
0.0000 1.8446 0.0000
1.8446 0.0000 0.0000
1.8446 1.8446 2.5878
0.0000 0.0000 0.0000
```

Symmetry: P4/mmm, No. 123
Energy above the lowest structure with this stoichiometry in meV/atom: 0.0
Calculated volume in Å³/f.u.: 70.4